A geometry-optimized KTa2Si structure. Source: Alexandria via LeMat-Bulk, functional GGA-PBEsol.

a = 2.8923 Å, b = 2.8923 Å, c = 10.9379 Å
α = 82.40°, β = 82.40°, γ = 60.00°
Positions (direct):
Si (0.0000, 0.0000, 0.0000)
K (0.5000, 0.5000, 0.5000)
Ta (0.2662, 0.2662, 0.2015)
Ta (0.7338, 0.7338, 0.7985)

Computed properties:
formation energy from raw total energies	576.6	meV/atom
electronic total energy	-7.42	eV per atom
SG	R-3m, No. 166
mass density	9.1	g/cm3
calculated volume	19.578	A^3/atom


A geometry-optimized Sr5Ca3MnFe7O24 structure. Source: Alexandria via LeMat-Bulk, functional GGA-PBEsol.

a = 7.5093 Å, b = 7.5151 Å, c = 7.5253 Å
α = 90.16°, β = 89.83°, γ = 89.86°
Positions (direct):
Sr (0.2482, 0.7500, 0.2458)
Sr (0.2485, 0.2458, 0.7518)
O (0.7495, 0.4987, 0.0211)
O (0.2499, 0.9951, 0.9996)
O (0.9883, 0.7500, 0.9971)
Sr (0.2453, 0.2480, 0.2481)
Fe (0.5028, 0.9980, 0.5008)
Fe (0.9974, 0.9990, 0.9990)
O (0.0002, 0.2502, 0.9983)
O (0.5053, 0.9782, 0.7495)
Sr (0.7487, 0.2516, 0.2518)
Mn (0.5034, 0.5006, 0.5011)
Ca (0.7551, 0.7526, 0.7488)
O (0.5111, 0.7498, 0.0210)
O (0.4821, 0.4800, 0.2496)
O (0.0190, 0.7492, 0.5037)
Fe (0.5029, 0.5011, 0.0001)
Sr (0.2520, 0.7492, 0.7479)
Fe (0.9968, 0.5013, 0.5004)
O (0.2495, 0.4797, 0.5190)
O (0.5301, 0.5236, 0.7509)
O (0.2505, 0.0191, 0.4996)
O (0.7495, 0.9691, 0.4994)
O (0.4794, 0.7505, 0.4806)
O (0.5035, 0.0162, 0.2509)
O (0.9736, 0.2506, 0.5043)
O (0.5020, 0.2508, 0.9785)
O (0.9940, 0.9954, 0.2499)
O (0.0150, 0.5014, 0.2504)
O (0.7506, 0.5334, 0.4738)
O (0.2506, 0.5052, 0.9816)
O (0.9940, 0.0005, 0.7496)
Fe (0.5023, 0.9991, 0.9993)
Ca (0.7524, 0.2492, 0.7591)
O (0.9710, 0.4994, 0.7491)
Ca (0.7500, 0.7554, 0.2462)
O (0.7498, 0.0042, 0.9958)
Fe (0.9973, 0.9985, 0.5006)
Fe (0.9970, 0.5010, 0.9996)
O (0.5314, 0.2493, 0.5266)

Computed properties:
formation energy from raw total energies	-2066.6	meV/atom
electronic total energy	-7.42	eV per atom
SG	P1, No. 1
mass density	5.4	g/cm3
calculated volume	10.617	A^3/atom


A geometry-optimized Rb2NaInSi structure. Source: Alexandria via LeMat-Bulk, functional GGA-PBEsol.

a = 5.2451 Å, b = 6.2128 Å, c = 6.2128 Å
α = 90.00°, β = 90.00°, γ = 90.00°
Positions (direct):
In (0.5000, 0.5000, 0.5000)
Si (0.5000, 0.0000, 0.0000)
Rb (0.0000, 0.5000, 0.0000)
Rb (0.0000, 0.0000, 0.5000)
Na (0.0000, 0.0000, 0.0000)

Computed properties:
formation energy from raw total energies	578.1	meV/atom
electronic total energy	-1.86	eV per atom
SG	P4/mmm, No. 123
mass density	2.8	g/cm3
calculated volume	40.491	A^3/atom


A geometry-optimized Gd2SeOF2 structure. Source: Alexandria via LeMat-Bulk, functional GGA-PBEsol.

a = 3.7547 Å, b = 13.4008 Å, c = 13.4008 Å
α = 120.00°, β = 90.00°, γ = 90.00°
Positions (direct):
F (0.2500, 0.2486, 0.9324)
F (0.7500, 0.3161, 0.2486)
Se (0.7500, 0.2820, 0.4882)
Se (0.7500, 0.2062, 0.7180)
O (0.7500, 0.4129, 0.9854)
Gd (0.7500, 0.9441, 0.2344)
F (0.2500, 0.8926, 0.7912)
Gd (0.7500, 0.2902, 0.0559)
Gd (0.2500, 0.3971, 0.8812)
F (0.2500, 0.2088, 0.1014)
Gd (0.7500, 0.8812, 0.4841)
Gd (0.2500, 0.2344, 0.2902)
Se (0.2500, 0.4882, 0.2062)
F (0.7500, 0.1074, 0.2088)
Se (0.7500, 0.5118, 0.7938)
O (0.2500, 0.4275, 0.4129)
O (0.2500, 0.9854, 0.5725)
F (0.2500, 0.6839, 0.7514)
Gd (0.7500, 0.5159, 0.3971)
Gd (0.2500, 0.0559, 0.7656)
O (0.2500, 0.5871, 0.0146)
Gd (0.7500, 0.7656, 0.7098)
F (0.2500, 0.8986, 0.1074)
Gd (0.2500, 0.1188, 0.5159)
Se (0.2500, 0.7180, 0.5118)
F (0.7500, 0.7912, 0.8986)
F (0.7500, 0.9324, 0.6839)
F (0.2500, 0.0676, 0.3161)
Gd (0.2500, 0.7098, 0.9441)
F (0.7500, 0.7514, 0.0676)
Se (0.2500, 0.7938, 0.2820)
Gd (0.7500, 0.6029, 0.1188)
F (0.7500, 0.1014, 0.8926)
Gd (0.2500, 0.4841, 0.6029)
O (0.7500, 0.0146, 0.4275)
O (0.7500, 0.5725, 0.5871)

Computed properties:
formation energy from raw total energies	-3409.4	meV/atom
electronic total energy	-10.38	eV per atom
SG	P6_3/m, No. 176
mass density	7.6	g/cm3
calculated volume	16.220	A^3/atom


A geometry-optimized Er5BiPd2 structure. Source: Alexandria via LeMat-Bulk, functional GGA-PBEsol.

a = 7.6401 Å, b = 8.6028 Å, c = 7.6401 Å
α = 63.64°, β = 90.00°, γ = 116.36°
Positions (direct):
Bi (0.2500, 0.5000, 0.7500)
Er (0.0148, 0.7200, 0.4852)
Pd (0.1364, 0.0000, 0.6364)
Er (0.0000, 0.0000, 0.0000)
Pd (0.3636, 0.0000, 0.1364)
Pd (0.8636, 0.0000, 0.3636)
Pd (0.6364, 0.0000, 0.8636)
Bi (0.7500, 0.5000, 0.2500)
Er (0.7949, 0.2800, 0.0148)
Er (0.5148, 0.7200, 0.2949)
Er (0.2051, 0.7200, 0.9852)
Er (0.2949, 0.2800, 0.2051)
Er (0.4852, 0.2800, 0.7051)
Er (0.7051, 0.7200, 0.7949)
Er (0.5000, 0.0000, 0.5000)
Er (0.9852, 0.2800, 0.5148)

Computed properties:
E_form	-0.714	eV per atom
electronic total energy	-5.82	eV per atom
SG	I4/mcm, No. 140
mass density	10.7	g/cm3
calculated volume	24.424	A^3/atom


A geometry-optimized ZnMo structure. Source: Alexandria via LeMat-Bulk, functional GGA-PBEsol.

a = 2.5982 Å, b = 4.4277 Å, c = 5.3332 Å
α = 90.00°, β = 104.10°, γ = 90.00°
Positions (direct):
Zn (0.8261, 0.7500, 0.6522)
Mo (0.4349, 0.2500, 0.8698)
Mo (0.5651, 0.7500, 0.1302)
Zn (0.1739, 0.2500, 0.3478)

Computed properties:
E_form	0.314	eV per atom
electronic total energy	-6.36	eV per atom
SG	Cmcm, No. 63
mass density	9.0	g/cm3
calculated volume	14.876	A^3/atom


A geometry-optimized K2CdIn structure. Source: Alexandria via LeMat-Bulk, functional GGA-PBEsol.

a = 3.8021 Å, b = 4.0999 Å, c = 9.9323 Å
α = 90.00°, β = 90.00°, γ = 90.00°
Positions (direct):
In (0.5000, 0.5000, 0.6847)
K (0.0000, 0.0000, 0.9301)
Cd (0.0000, 0.0000, 0.5643)
K (0.5000, 0.5000, 0.3209)

Computed properties:
E_form	-0.001	eV per atom
electronic total energy	-1.61	eV per atom
SG	Pmm2, No. 25
mass density	3.3	g/cm3
calculated volume	38.707	A^3/atom


A geometry-optimized Na3Ga structure. Source: Alexandria via LeMat-Bulk, functional GGA-PBEsol.

a = 5.3016 Å, b = 5.3016 Å, c = 5.3016 Å
α = 60.00°, β = 60.00°, γ = 60.00°
Positions (direct):
Ga (0.0000, 0.0000, 0.0000)
Na (0.7500, 0.7500, 0.7500)
Na (0.2500, 0.2500, 0.2500)
Na (0.5000, 0.5000, 0.5000)

Computed properties:
E_form	0.054	eV per atom
electronic total energy	-1.83	eV per atom
SG	Fm-3m, No. 225
mass density	2.2	g/cm3
calculated volume	26.342	A^3/atom


A geometry-optimized Y2ZrRe structure. Source: Alexandria via LeMat-Bulk, functional GGA-PBEsol.

a = 3.3509 Å, b = 3.3509 Å, c = 8.1190 Å
α = 90.00°, β = 90.00°, γ = 90.00°
Positions (direct):
Zr (0.5000, 0.5000, 0.0000)
Y (0.0000, 0.0000, 0.2915)
Y (0.0000, 0.0000, 0.7085)
Re (0.5000, 0.5000, 0.5000)

Computed properties:
E_form	0.319	eV per atom
electronic total energy	-8.70	eV per atom
SG	P4/mmm, No. 123
mass density	8.3	g/cm3
calculated volume	22.791	A^3/atom


A geometry-optimized ScCl structure. Source: Alexandria via LeMat-Bulk, functional GGA-PBEsol.

a = 3.4259 Å, b = 3.4259 Å, c = 9.2401 Å
α = 79.32°, β = 79.32°, γ = 60.00°
Positions (direct):
Sc (0.1204, 0.1204, 0.6388)
Cl (0.3937, 0.3937, 0.8189)
Cl (0.6063, 0.6063, 0.1811)
Sc (0.8796, 0.8796, 0.3612)

Computed properties:
formation energy from raw total energies	-1447.1	meV/atom
electronic total energy	-5.75	eV per atom
SG	R-3m, No. 166
mass density	2.9	g/cm3
calculated volume	22.936	A^3/atom


A geometry-optimized CrHPb2 structure. Source: Alexandria via LeMat-Bulk, functional GGA-PBEsol.

a = 4.7836 Å, b = 4.7836 Å, c = 4.7836 Å
α = 60.00°, β = 60.00°, γ = 60.00°
Positions (direct):
H (0.0000, 0.0000, 0.0000)
Pb (0.7500, 0.7500, 0.7500)
Pb (0.2500, 0.2500, 0.2500)
Cr (0.5000, 0.5000, 0.5000)

Computed properties:
electronic total energy	-4.64	eV per atom
SG	Fm-3m, No. 225
mass density	10.0	g/cm3
calculated volume	19.350	A^3/atom


A geometry-optimized Tc2PtW structure. Source: Alexandria via LeMat-Bulk, functional GGA-PBEsol.

a = 2.6538 Å, b = 4.8447 Å, c = 5.3343 Å
α = 116.02°, β = 102.75°, γ = 93.54°
Positions (direct):
W (0.0000, 0.5000, 0.0000)
Tc (0.5000, 0.5000, 0.5000)
Tc (0.0000, 0.0000, 0.5000)
Pt (0.5000, 0.0000, 0.0000)

Computed properties:
E_form	0.152	eV per atom
electronic total energy	-10.67	eV per atom
SG	C2/m, No. 12
mass density	16.1	g/cm3
calculated volume	14.779	A^3/atom


A geometry-optimized FeAg2Os structure. Source: Alexandria via LeMat-Bulk, functional GGA-PBEsol.

a = 2.6014 Å, b = 4.2683 Å, c = 5.2914 Å
α = 90.00°, β = 90.00°, γ = 90.00°
Positions (direct):
Ag (0.0000, 0.0000, 0.7519)
Os (0.5000, 0.5000, 0.5000)
Ag (0.0000, 0.0000, 0.2481)
Fe (0.5000, 0.5000, 0.0000)

Computed properties:
E_form	0.647	eV per atom
electronic total energy	-6.30	eV per atom
SG	Pmmm, No. 47
mass density	13.1	g/cm3
calculated volume	14.689	A^3/atom


A geometry-optimized NaTl3Se structure. Source: Alexandria via LeMat-Bulk, functional GGA-PBEsol.

a = 5.4385 Å, b = 5.4385 Å, c = 5.4385 Å
α = 90.00°, β = 90.00°, γ = 90.00°
Positions (direct):
Na (0.0000, 0.0000, 0.0000)
Tl (0.0000, 0.5000, 0.0000)
Tl (0.5000, 0.0000, 0.0000)
Tl (0.0000, 0.0000, 0.5000)
Se (0.5000, 0.5000, 0.5000)

Computed properties:
formation energy from raw total energies	340.4	meV/atom
electronic total energy	-2.29	eV per atom
SG	Pm-3m, No. 221
mass density	7.4	g/cm3
calculated volume	32.172	A^3/atom


A geometry-optimized CoSbPt3 structure. Source: Alexandria via LeMat-Bulk, functional GGA-PBEsol.

a = 4.8378 Å, b = 4.8378 Å, c = 4.8378 Å
α = 90.00°, β = 90.00°, γ = 90.00°
Positions (direct):
Pt (0.0000, 0.5000, 0.0000)
Co (0.5000, 0.5000, 0.5000)
Pt (0.5000, 0.0000, 0.0000)
Pt (0.0000, 0.0000, 0.5000)
Sb (0.0000, 0.0000, 0.0000)

Computed properties:
formation energy from raw total energies	1424.6	meV/atom
electronic total energy	-5.21	eV per atom
SG	Pm-3m, No. 221
mass density	11.2	g/cm3
calculated volume	22.645	A^3/atom


A geometry-optimized Ti2Rh2C structure. Source: Alexandria via LeMat-Bulk, functional GGA-PBEsol.

a = 4.7137 Å, b = 4.7137 Å, c = 4.7137 Å
α = 96.66°, β = 116.23°, γ = 116.23°
Positions (direct):
Ti (0.5000, 0.7500, 0.2500)
Rh (0.0000, 0.7058, 0.7058)
C (0.0000, 0.0000, 0.0000)
Ti (0.5000, 0.2500, 0.7500)
Rh (0.0000, 0.2942, 0.2942)

Computed properties:
E_form	0.467	eV per atom
electronic total energy	-8.05	eV per atom
SG	I4/mmm, No. 139
mass density	6.7	g/cm3
calculated volume	15.542	A^3/atom


A geometry-optimized MgCuPt2 structure. Source: Alexandria via LeMat-Bulk, functional GGA-PBEsol.

a = 2.8076 Å, b = 2.8076 Å, c = 8.6129 Å
α = 80.62°, β = 80.62°, γ = 60.00°
Positions (direct):
Pt (0.7486, 0.7486, 0.7543)
Pt (0.2514, 0.2514, 0.2457)
Mg (0.5000, 0.5000, 0.5000)
Cu (0.0000, 0.0000, 0.0000)

Computed properties:
E_form	-0.325	eV per atom
electronic total energy	-5.32	eV per atom
SG	R-3m, No. 166
mass density	13.7	g/cm3
calculated volume	14.437	A^3/atom


A geometry-optimized LiS3N structure. Source: Alexandria via LeMat-Bulk, functional GGA-PBEsol.

a = 4.3111 Å, b = 4.3111 Å, c = 4.3111 Å
α = 90.00°, β = 90.00°, γ = 90.00°
Positions (direct):
S (0.5000, 0.0000, 0.0000)
N (0.5000, 0.5000, 0.5000)
S (0.0000, 0.5000, 0.0000)
Li (0.0000, 0.0000, 0.0000)
S (0.0000, 0.0000, 0.5000)

Computed properties:
formation energy from raw total energies	1578.7	meV/atom
electronic total energy	-3.15	eV per atom
SG	Pm-3m, No. 221
mass density	2.4	g/cm3
calculated volume	16.025	A^3/atom


A geometry-optimized ReTeBr2 structure. Source: Alexandria via LeMat-Bulk, functional GGA-PBEsol.

a = 3.1484 Å, b = 4.8173 Å, c = 5.4969 Å
α = 90.00°, β = 90.00°, γ = 90.00°
Positions (direct):
Re (0.5000, 0.5000, 0.0000)
Br (0.0000, 0.0000, 0.0000)
Br (0.5000, 0.0000, 0.5000)
Te (0.0000, 0.5000, 0.5000)

Computed properties:
formation energy from raw total energies	1078.9	meV/atom
electronic total energy	-4.07	eV per atom
SG	Pmmm, No. 47
mass density	9.4	g/cm3
calculated volume	20.842	A^3/atom


A geometry-optimized Mg2Cu2Pd structure. Source: Alexandria via LeMat-Bulk, functional GGA-PBEsol.

a = 3.8528 Å, b = 3.8528 Å, c = 6.0574 Å
α = 108.54°, β = 108.54°, γ = 90.00°
Positions (direct):
Cu (0.6005, 0.6005, 0.2010)
Pd (0.0000, 0.0000, 0.0000)
Mg (0.2500, 0.7500, 0.5000)
Mg (0.7500, 0.2500, 0.5000)
Cu (0.3995, 0.3995, 0.7990)

Computed properties:
E_form	0.260	eV per atom
electronic total energy	-3.35	eV per atom
SG	I4/mmm, No. 139
mass density	5.8	g/cm3
calculated volume	16.062	A^3/atom